Computed, not measured: crystalline ReNiN2F at its relaxed geometry at the PBE+U level of DFT.

a = 3.8662 Å, b = 3.8662 Å, c = 4.1501 Å
α = 90.00°, β = 90.00°, γ = 90.00°
Site moments in Bohr magnetons follow the coordinates.
Positions (direct):
1 N 0.5000 0.0000 0.0000  -0.10
2 N 0.0000 0.5000 0.0000  -0.10
3 Re 0.0000 0.0000 0.0000  0.09
4 F 0.0000 0.0000 0.5000  0.00
5 Ni 0.5000 0.5000 0.5000  0.97

N(E_F) = 2.7 states/eV/f.u.
Energy above the lowest structure with this stoichiometry = 0.000 eV/atom